Entry 1:
First-principles (PBE-GGA) data for a geometry-optimized SrAu2I structure, as listed in Alexandria.

Lattice parameters (Å, degrees): 7.0600 7.0600 7.0600 100.37 100.37 129.80
Last column: nearest neighbours and their distance in Å.
Element x y z (fractional)
Sr (0.0000, 0.0000, 0.0000)  2 I 3.00, 4 Au 3.31
Sr (0.7500, 0.2500, 0.5000)  2 I 3.00, 4 Au 3.31
Au (0.1296, 0.1250, 0.5046)  2 Au 3.00, 2 I 3.25, 2 Sr 3.31
Au (0.3750, 0.8704, 0.9954)  2 Au 3.00, 2 I 3.25, 2 Sr 3.31
Au (0.6204, 0.6250, 0.4954)  2 Au 3.00, 2 I 3.25, 2 Sr 3.31
Au (0.8750, 0.3796, 0.0046)  2 Au 3.00, 2 I 3.25, 2 Sr 3.31
I (0.2500, 0.7500, 0.5000)  2 Sr 3.00, 4 Au 3.25
I (0.5000, 0.5000, 0.0000)  2 Sr 3.00, 4 Au 3.25

Density of states at the Fermi level = 0.375 states/eV/atom
E above lowest polymorph = 0.0 meV/atom
Symmetry = I-42d
Uncorrected formation energy = -164.1 kJ/mol of formula units

---

Entry 2:
First-principles (PBE-GGA) data for a geometry-optimized LaIrRh2 structure, as listed in Alexandria.

Lattice parameters (Å, degrees): 4.6967 4.6967 4.6967 60.00 60.00 60.00
Last column: nearest neighbours and their distance in Å.
Element x y z (fractional)
La (0.0000, 0.0000, 0.0000)  4 Ir 2.88, 4 Rh 2.88
Ir (0.7500, 0.7500, 0.7500)  4 La 2.88, 4 Rh 2.88
Rh (0.2500, 0.2500, 0.2500)  4 La 2.88, 4 Rh 2.88
Rh (0.5000, 0.5000, 0.5000)  4 Ir 2.88, 4 Rh 2.88

Density of states at the Fermi level = 1.658 states/eV/atom
E above lowest polymorph = 488.3 meV/atom
Symmetry = F-43m

---

Entry 3:
First-principles (PBE-GGA) data for a geometry-optimized Pr4Pb2S structure, as listed in Alexandria.

Lattice parameters (Å, degrees): 9.2148 9.2148 9.2148 146.39 146.39 48.26
Last column: nearest neighbours and their distance in Å.
Element x y z (fractional)
Pr (0.0000, 0.5000, 0.5000)  2 S 2.66
Pr (0.1693, 0.1693, 0.0000)  1 S 2.85
Pr (0.5000, 0.0000, 0.5000)  2 S 2.66
Pr (0.8307, 0.8307, 0.0000)  1 S 2.85
Pb (0.3635, 0.3635, 0.0000)  5 Pr 3.27-3.52
Pb (0.6365, 0.6365, 0.0000)  5 Pr 3.27-3.52
S (0.0000, 0.0000, 0.0000)  6 Pr 2.66-2.85

Density of states at the Fermi level = 0.635 states/eV/atom
Symmetry = I4/mmm
Uncorrected formation energy = -526.5 kJ/mol of formula units